(1)
## SmMg2Au (PBE)

Data for a geometry-optimized SmMg2Au structure.

Cell lengths 3.4263, 3.4263, 7.8847 Å; angles 90.00, 90.00, 90.00 degrees
With the nearest neighbours (Å) after each atom.
Positions (direct):
Sm 0.5000 0.5000 0.5000  8 Mg 3.42, 4 Sm 3.43
Au 0.5000 0.5000 0.0000  8 Mg 2.86
Mg 0.0000 0.0000 0.8066  4 Au 2.86, 1 Mg 3.05
Mg 0.0000 0.0000 0.1934  4 Au 2.86, 1 Mg 3.05

Calculated values
Calculated density   7103 kg/m3
ΔH_f (0 K)   -332.5 meV/atom

(2)
## AcLa2Sm2Y2 (PBE)

Data for a geometry-optimized AcLa2Sm2Y2 structure.

Cell lengths 5.2658, 6.4351, 8.1976 Å; angles 97.64, 90.00, 114.15 degrees
With the nearest neighbours (Å) after each atom.
Positions (direct):
Sm 0.4266 0.8531 0.2938  1 Sm 3.56, 5 Y 3.63-3.71, 4 La 3.70-3.76, 2 Ac 3.75
La 0.2850 0.5699 0.8526  3 Y 3.60-3.70, 4 Sm 3.70-3.76, 3 Ac 3.72-3.73, 2 La 3.74
Ac 0.0000 0.0000 0.0000  2 Y 3.69, 6 La 3.72-3.73, 4 Sm 3.75
La 0.7150 0.4301 0.1474  3 Y 3.60-3.70, 4 Sm 3.70-3.76, 3 Ac 3.72-3.73, 2 La 3.74
Y 0.8578 0.7157 0.5675  3 La 3.60-3.70, 5 Sm 3.63-3.71, 3 Y 3.67-3.71, 1 Ac 3.69
Sm 0.5734 0.1469 0.7062  1 Sm 3.56, 5 Y 3.63-3.71, 4 La 3.70-3.76, 2 Ac 3.75
Y 0.1422 0.2843 0.4325  3 La 3.60-3.70, 5 Sm 3.63-3.71, 3 Y 3.67-3.71, 1 Ac 3.69

Calculated values
Calculated density   6512 kg/m3
ΔH_f (0 K)   34.9 meV/atom

(3)
## K5Ir (PBE)

Data for a geometry-optimized K5Ir structure.

Cell lengths 11.4391, 11.4391, 5.8532 Å; angles 90.00, 90.00, 157.29 degrees
With the nearest neighbours (Å) after each atom.
Positions (direct):
K 0.7705 0.2295 0.5000  12 K 4.50-5.00
K 0.3928 0.6072 0.0000  2 Ir 3.35, 2 K 3.40
K 0.0901 0.9099 0.5000  2 Ir 3.51, 6 K 3.52-3.71
K 0.4697 0.5303 0.5000  4 K 3.40-3.52, 4 Ir 3.77
Ir 0.0036 0.9964 0.0000  6 K 3.23-3.51
K 0.6066 0.3934 0.0000  2 Ir 3.23

Calculated values
Calculated density   2177 kg/m3
ΔH_f (0 K)   540.2 meV/atom

(4)
## CuPBr2 (PBE)

Data for a geometry-optimized CuPBr2 structure.

Cell lengths 3.6288, 3.4233, 8.2309 Å; angles 113.91, 90.00, 90.00 degrees
With the nearest neighbours (Å) after each atom.
Positions (direct):
Br 0.0000 0.4881 0.4829  2 Cu 2.52, 2 P 2.71
P 0.5000 0.7500 0.7500  4 Br 2.71
Cu 0.5000 0.2500 0.2500  4 Br 2.52
Br 0.0000 0.0119 0.0171  2 Cu 2.52, 2 P 2.71

Calculated values
Calculated density   4518 kg/m3
E_form (uncorrected)   0.422 eV/atom

(5)
## ZnPH2 (PBE)

Data for a geometry-optimized ZnPH2 structure.

Cell lengths 2.6943, 4.2199, 5.0237 Å; angles 90.00, 91.15, 90.00 degrees
With the nearest neighbours (Å) after each atom.
Positions (direct):
H 0.9797 0.5000 0.7760  1 P 1.42
Zn 0.9994 0.0000 0.2763  2 H 1.71
H 0.5072 0.0000 0.4851  2 Zn 1.71
P 0.9911 0.5000 0.0588  1 H 1.42

Calculated values
Calculated density   2861 kg/m3
Raw total energy   -3.275 eV/atom

(6)
## HgIr2Pb2 (PBE)

Data for a geometry-optimized HgIr2Pb2 structure.

Cell lengths 7.4983, 7.4983, 3.7077 Å; angles 90.00, 90.00, 90.00 degrees
With the nearest neighbours (Å) after each atom.
Positions (direct):
Pb 0.1585 0.6585 0.5000  6 Ir 2.83-2.91
Ir 0.3604 0.8604 0.0000  6 Pb 2.83-2.91, 2 Hg 2.90, 1 Ir 2.96
Pb 0.3415 0.1585 0.5000  6 Ir 2.83-2.91
Pb 0.8415 0.3415 0.5000  6 Ir 2.83-2.91
Ir 0.6396 0.1396 0.0000  6 Pb 2.83-2.91, 2 Hg 2.90, 1 Ir 2.96
Hg 0.0000 0.0000 0.0000  4 Ir 2.90
Pb 0.6585 0.8415 0.5000  6 Ir 2.83-2.91
Ir 0.8604 0.6396 0.0000  6 Pb 2.83-2.91, 2 Hg 2.90, 1 Ir 2.96
Ir 0.1396 0.3604 0.0000  6 Pb 2.83-2.91, 2 Hg 2.90, 1 Ir 2.96
Hg 0.5000 0.5000 0.0000  4 Ir 2.90

Calculated values
Calculated density   15922 kg/m3
ΔH_f (0 K)   376.5 meV/atom

(7)
## Rb2NpPdS4 (PBE)

Data for a geometry-optimized Rb2NpPdS4 structure.

Cell lengths 6.3571, 8.0649, 12.3772 Å; angles 84.19, 75.12, 66.79 degrees
With the nearest neighbours (Å) after each atom.
Positions (direct):
Pd 0.2500 0.5000 0.5000  4 S 2.40
Rb 0.5680 0.5000 0.8641  2 S 3.38
S 0.5874 0.2135 0.0843  1 Pd 2.40, 1 Np 2.52
Rb 0.8180 0.0000 0.3641  2 S 3.38
S 0.1991 0.2135 0.9157  1 Pd 2.40, 1 Np 2.52
S 0.8648 0.7135 0.5843  1 Pd 2.40, 1 Np 2.52
Np 0.7500 0.5000 0.5000  4 S 2.52
Rb 0.1820 0.0000 0.6359  2 S 3.38
S 0.3283 0.7865 0.0843  1 Pd 2.40, 1 Np 2.52
S 0.8852 0.7865 0.9157  1 Pd 2.40, 1 Np 2.52
S 0.4217 0.7135 0.4157  1 Pd 2.40, 1 Np 2.52
S 0.5509 0.2865 0.5843  1 Pd 2.40, 1 Np 2.52
Rb 0.9320 0.5000 0.1359  2 S 3.38
Np 0.0000 0.0000 0.0000  4 S 2.52
Pd 0.5000 0.0000 0.0000  4 S 2.40
S 0.1626 0.2865 0.4157  1 Pd 2.40, 1 Np 2.52

Calculated values
Calculated density   3786 kg/m3
E_form (uncorrected)   -0.808 eV/atom

(8)
## Ga12Bi3S5 (PBE)

Data for a geometry-optimized Ga12Bi3S5 structure.

Cell lengths 14.1240, 14.1240, 14.1240 Å; angles 109.47, 109.47, 109.47 degrees
With the nearest neighbours (Å) after each atom.
Positions (direct):
Ga 0.5854 0.8682 0.4115  2 S 2.55-2.73
S 0.3750 0.2500 0.1250  4 Ga 2.55
Bi 0.3750 0.6250 0.2500  8 Ga 3.05-3.08
Ga 0.5433 0.2172 0.1318  2 S 2.55-2.73
Bi 0.1250 0.8750 0.7500  8 Ga 3.05-3.08
S 0.0000 0.5000 0.5000  6 Ga 2.73
S 0.3750 0.1250 0.7500  4 Ga 2.55
Ga 0.3261 0.5433 0.4115  2 S 2.55-2.73
Ga 0.1318 0.7172 0.5433  2 S 2.55-2.73
S 0.2500 0.8750 0.1250  4 Ga 2.55
Ga 0.8261 0.9146 0.2828  2 S 2.55-2.73
Ga 0.7828 0.3261 0.9146  2 S 2.55-2.73
S 0.6250 0.7500 0.8750  4 Ga 2.55
Ga 0.3261 0.7828 0.4146  2 S 2.55-2.73
Ga 0.2828 0.8682 0.9567  2 S 2.55-2.73
S 0.0000 0.5000 0.0000  6 Ga 2.73
Ga 0.5885 0.6318 0.4146  2 S 2.55-2.73
Ga 0.6739 0.4567 0.5885  2 S 2.55-2.73
Ga 0.5854 0.7172 0.6739  2 S 2.55-2.73
Ga 0.0854 0.9115 0.3682  2 S 2.55-2.73
Ga 0.1739 0.0885 0.9567  2 S 2.55-2.73
Ga 0.2828 0.4146 0.8261  2 S 2.55-2.73
Ga 0.0885 0.1739 0.4567  2 S 2.55-2.73
Ga 0.0433 0.4115 0.8261  2 S 2.55-2.73
S 0.5000 0.5000 0.5000  6 Ga 2.73
Bi 0.1250 0.2500 0.8750  8 Ga 3.05-3.08
S 0.1250 0.3750 0.2500  4 Ga 2.55
Ga 0.9146 0.0885 0.6318  2 S 2.55-2.73
Ga 0.2172 0.5433 0.6318  2 S 2.55-2.73
Ga 0.2172 0.6739 0.0854  2 S 2.55-2.73
Bi 0.2500 0.1250 0.3750  8 Ga 3.05-3.08
Ga 0.5433 0.3261 0.9115  2 S 2.55-2.73
S 0.0000 0.0000 0.0000  6 Ga 2.73
Bi 0.8750 0.7500 0.1250  8 Ga 3.05-3.08
S 0.5000 0.0000 0.5000  6 Ga 2.73
Ga 0.0433 0.6318 0.7172  2 S 2.55-2.73
S 0.1250 0.7500 0.3750  4 Ga 2.55
S 0.2500 0.3750 0.6250  4 Ga 2.55
Ga 0.1318 0.4146 0.0885  2 S 2.55-2.73
Ga 0.1739 0.0854 0.7172  2 S 2.55-2.73
Ga 0.3682 0.4115 0.0854  2 S 2.55-2.73
S 0.5000 0.0000 0.0000  6 Ga 2.73
Ga 0.9115 0.0854 0.8682  2 S 2.55-2.73
S 0.0000 0.0000 0.5000  6 Ga 2.73
S 0.6250 0.8750 0.2500  4 Ga 2.55
Ga 0.9115 0.8261 0.5433  2 S 2.55-2.73
Ga 0.3682 0.9567 0.7828  2 S 2.55-2.73
Ga 0.9146 0.8261 0.7828  2 S 2.55-2.73
Bi 0.8750 0.1250 0.2500  8 Ga 3.05-3.08
Bi 0.7500 0.8750 0.6250  8 Ga 3.05-3.08
Ga 0.8682 0.2828 0.4567  2 S 2.55-2.73
Ga 0.9567 0.5885 0.1739  2 S 2.55-2.73
Ga 0.7828 0.4567 0.3682  2 S 2.55-2.73
Bi 0.6250 0.2500 0.3750  8 Ga 3.05-3.08
Ga 0.9567 0.3682 0.2828  2 S 2.55-2.73
Bi 0.3750 0.7500 0.6250  8 Ga 3.05-3.08
Ga 0.4146 0.1318 0.5885  2 S 2.55-2.73
Ga 0.4567 0.6739 0.0885  2 S 2.55-2.73
S 0.5000 0.5000 0.0000  6 Ga 2.73
Ga 0.6318 0.0433 0.2172  2 S 2.55-2.73
S 0.7500 0.6250 0.3750  4 Ga 2.55
Ga 0.0885 0.9146 0.1318  2 S 2.55-2.73
S 0.8750 0.2500 0.6250  4 Ga 2.55
Ga 0.4115 0.0433 0.3261  2 S 2.55-2.73
Ga 0.6739 0.2172 0.5854  2 S 2.55-2.73
Bi 0.2500 0.6250 0.8750  8 Ga 3.05-3.08
Ga 0.6318 0.5885 0.9146  2 S 2.55-2.73
Bi 0.6250 0.3750 0.7500  8 Ga 3.05-3.08
S 0.7500 0.1250 0.8750  4 Ga 2.55
Ga 0.5885 0.9567 0.6739  2 S 2.55-2.73
Ga 0.8261 0.9115 0.0433  2 S 2.55-2.73
Ga 0.0854 0.1739 0.2172  2 S 2.55-2.73
Ga 0.4146 0.2828 0.3261  2 S 2.55-2.73
Ga 0.7172 0.1318 0.0433  2 S 2.55-2.73
Ga 0.8682 0.5854 0.9115  2 S 2.55-2.73
Ga 0.7172 0.5854 0.1739  2 S 2.55-2.73
Ga 0.4567 0.7828 0.8682  2 S 2.55-2.73
Bi 0.7500 0.3750 0.1250  8 Ga 3.05-3.08
Ga 0.4115 0.3682 0.5854  2 S 2.55-2.73
S 0.8750 0.6250 0.7500  4 Ga 2.55

Calculated values
Calculated density   4973 kg/m3
E_form (uncorrected)   -0.035 eV/atom

(9)
## TiTc2Ge2 (PBE)

Data for a geometry-optimized TiTc2Ge2 structure.

Cell lengths 7.0494, 7.0494, 3.0574 Å; angles 90.00, 90.00, 90.00 degrees
With the nearest neighbours (Å) after each atom.
Positions (direct):
Ge 0.8545 0.6455 0.0000  6 Tc 2.54-2.59, 2 Ti 2.70
Ti 0.0000 0.0000 0.0000  4 Ge 2.70
Ti 0.5000 0.5000 0.0000  4 Ge 2.70
Tc 0.8489 0.3489 0.5000  6 Ge 2.54-2.59
Ge 0.3545 0.8545 0.0000  6 Tc 2.54-2.59, 2 Ti 2.70
Ge 0.6455 0.1455 0.0000  6 Tc 2.54-2.59, 2 Ti 2.70
Tc 0.3489 0.1511 0.5000  6 Ge 2.54-2.59
Ge 0.1455 0.3545 0.0000  6 Tc 2.54-2.59, 2 Ti 2.70
Tc 0.6511 0.8489 0.5000  6 Ge 2.54-2.59
Tc 0.1511 0.6511 0.5000  6 Ge 2.54-2.59

Calculated values
Calculated density   8506 kg/m3
ΔH_f (0 K)   -223.9 meV/atom

(10)
## Sc2GaPd (PBE)

Data for a geometry-optimized Sc2GaPd structure.

Cell lengths 3.3573, 3.3573, 6.5816 Å; angles 90.00, 90.00, 90.00 degrees
With the nearest neighbours (Å) after each atom.
Positions (direct):
Sc 0.0000 0.0000 0.2451  4 Pd 2.87, 4 Ga 2.91
Pd 0.5000 0.5000 0.0000  8 Sc 2.87
Sc 0.0000 0.0000 0.7549  4 Pd 2.87, 4 Ga 2.91
Ga 0.5000 0.5000 0.5000  8 Sc 2.91

Calculated values
Calculated density   5955 kg/m3
ΔH_f (0 K)   -761.1 meV/atom